First-principles (GGA-PBEsol) data for an optimized crystal structure of AgMo3P3O16, as listed in Alexandria.

a = 6.4188 Å, b = 7.7222 Å, c = 12.7882 Å
α = 79.82°, β = 79.27°, γ = 81.77°
Fractional coordinates of all 46 atoms:
1 Ag 0.0863 0.3657 0.3225
2 Ag 0.9137 0.6343 0.6775
3 Mo 0.0978 0.2404 0.8373
4 Mo 0.3000 0.7881 0.4625
5 Mo 0.4383 0.7937 0.8557
6 Mo 0.5617 0.2063 0.1443
7 Mo 0.7000 0.2119 0.5375
8 Mo 0.9022 0.7596 0.1627
9 P 0.0757 0.1601 0.1037
10 P 0.1928 0.1488 0.5769
11 P 0.4422 0.5081 0.6852
12 P 0.5578 0.4919 0.3148
13 P 0.8072 0.8512 0.4231
14 P 0.9243 0.8399 0.8963
15 O 0.0169 0.2398 0.5102
16 O 0.0762 0.9604 0.1058
17 O 0.0980 0.5916 0.1765
18 O 0.1184 0.1749 0.6941
19 O 0.1280 0.2543 0.9874
20 O 0.1420 0.7590 0.8389
21 O 0.2335 0.9485 0.5762
22 O 0.2470 0.1934 0.1670
23 O 0.2821 0.5928 0.6102
24 O 0.3014 0.9575 0.3621
25 O 0.3408 0.3799 0.7811
26 O 0.3554 0.5867 0.3769
27 O 0.3565 0.0191 0.8544
28 O 0.3929 0.2408 0.5259
29 O 0.4169 0.6980 0.9839
30 O 0.4744 0.3472 0.2665
31 O 0.5256 0.6528 0.7335
32 O 0.5831 0.3020 0.0161
33 O 0.6071 0.7592 0.4741
34 O 0.6435 0.9809 0.1456
35 O 0.6446 0.4133 0.6231
36 O 0.6592 0.6201 0.2189
37 O 0.6986 0.0425 0.6379
38 O 0.7179 0.4072 0.3898
39 O 0.7530 0.8066 0.8330
40 O 0.7665 0.0515 0.4238
41 O 0.8580 0.2410 0.1611
42 O 0.8720 0.7457 0.0126
43 O 0.8816 0.8251 0.3059
44 O 0.9020 0.4084 0.8235
45 O 0.9238 0.0396 0.8942
46 O 0.9831 0.7602 0.4898

Output
Uncorrected formation energy = -4263 kJ/mol of formula units
E = -8.01 eV/atom